1.
# Rb4TmTh3Te8 | the Alexandria database | PBE | optimized geometry
data_Rb4TmTh3Te8
_chemical_formula_sum 'Rb12 Tm3 Th9 Te24'
_cell_length_a 8.9922
_cell_length_b 8.9922
_cell_length_c 26.2356
_cell_angle_alpha 90.00
_cell_angle_beta 90.00
_cell_angle_gamma 120.00
_symmetry_space_group_name_H-M 'R -3 m'
_symmetry_Int_Tables_number 166
_symmetry_space_group_name_Hall '-R 3 2"'
loop_
_atom_site_label
_atom_site_fract_x
_atom_site_fract_y
_atom_site_fract_z
Rb1 0.0000 0.0000 0.0000
Rb2 0.0000 0.5000 0.0000
Tm1 0.0000 0.0000 0.5000
Th1 0.0000 0.5000 0.5000
Te1 0.0000 0.0000 0.2376
Te2 0.0086 0.5043 0.2352
# E_form (uncorrected) = -19.22 eV/f.u.
# M_tot = 0.00 μB per formula unit
# D(E_F) = 31.54 states/eV per cell


2.
# Ca3PrDy2Se6 | the Alexandria database | PBE | optimized geometry
data_Ca3PrDy2Se6
_chemical_formula_sum 'Ca6 Pr2 Dy4 Se12'
_cell_length_a 7.1832
_cell_length_b 12.4258
_cell_length_c 7.2895
_cell_angle_alpha 90.00
_cell_angle_beta 109.23
_cell_angle_gamma 90.00
_symmetry_space_group_name_H-M 'C 1 2/m 1'
_symmetry_Int_Tables_number 12
loop_
_symmetry_equiv_pos_as_xyz
'x,y,z'
'-x,-y,-z'
'-x,y,-z'
'x,-y,z'
'x+1/2,y+1/2,z'
'-x+1/2,-y+1/2,-z'
'-x+1/2,y+1/2,-z'
'x+1/2,-y+1/2,z'
loop_
_atom_site_label
_atom_site_fract_x
_atom_site_fract_y
_atom_site_fract_z
Ca1 0.0000 0.0000 0.0000
Ca2 0.0000 0.3364 0.0000
Pr1 0.0000 0.5000 0.5000
Dy1 0.0000 0.1676 0.5000
Se1 0.2393 0.0000 0.7486
Se2 0.2447 0.1717 0.2498
# E_form (uncorrected) = -22.58 eV/f.u.
# M_tot = 0.00 μB per formula unit
# D(E_F) = 8.94 states/eV per cell


3.
# SrZnIn2 | the Alexandria database | PBE | optimized geometry
data_SrZnIn2
_chemical_formula_sum 'Sr2 Zn2 In4'
_cell_length_a 4.0368
_cell_length_b 5.2902
_cell_length_c 10.4258
_cell_angle_alpha 90.00
_cell_angle_beta 90.00
_cell_angle_gamma 90.00
_symmetry_space_group_name_H-M 'I m m m'
_symmetry_Int_Tables_number 71
_symmetry_space_group_name_Hall '-I 2 2'
loop_
_atom_site_label
_atom_site_fract_x
_atom_site_fract_y
_atom_site_fract_z
Sr1 0.0000 0.0000 0.0000
Zn1 0.0000 0.0000 0.5000
In1 0.0000 0.5000 0.2193
# DFT formation energy = -0.155 eV per atom
# M_tot = 0.00 μB per formula unit
# D(E_F) = 5.23 states/eV per cell


4.
# Cs2TlIn | the Alexandria database | PBE | optimized geometry
data_Cs2TlIn
_chemical_formula_sum 'Cs8 Tl4 In4'
_cell_length_a 9.2233
_cell_length_b 9.2233
_cell_length_c 9.2233
_cell_angle_alpha 90.00
_cell_angle_beta 90.00
_cell_angle_gamma 90.00
_symmetry_space_group_name_H-M 'F m -3 m'
_symmetry_Int_Tables_number 225
_symmetry_space_group_name_Hall '-F 4 2 3'
loop_
_atom_site_label
_atom_site_fract_x
_atom_site_fract_y
_atom_site_fract_z
Cs1 0.2500 0.2500 0.2500
Tl1 0.0000 0.0000 0.0000
In1 0.0000 0.0000 0.5000
# DFT formation energy = 0.128 eV per atom
# M_tot = 0.00 μB per formula unit
# ΔE to the lowest computed polymorph = 175 meV per atom
# D(E_F) = 14.81 states/eV per cell